[1]
BaPb | PBE | optimized geometry

abc: 7.2233 7.2233 7.2233
angles: 90.00 90.00 90.00
Last column: nearest neighbours and their distance in Å.
Positions (direct):
Ba 0.0000 0.0000 0.0000  6 Pb 3.61
Ba 0.0000 0.5000 0.5000  6 Pb 3.61
Ba 0.5000 0.0000 0.5000  6 Pb 3.61
Ba 0.5000 0.5000 0.0000  6 Pb 3.61
Pb 0.5000 0.5000 0.5000  6 Ba 3.61
Pb 0.5000 0.0000 0.0000  6 Ba 3.61
Pb 0.0000 0.5000 0.0000  6 Ba 3.61
Pb 0.0000 0.0000 0.5000  6 Ba 3.61

Output
DFT formation energy: -15 kJ per mole of atoms
M_tot: 1.5 μB/cell

---

[2]
BaPb3 | PBE | optimized geometry

abc: 3.7521 3.7521 9.9826
angles: 90.00 90.00 89.92
Last column: nearest neighbours and their distance in Å.
Positions (direct):
Pb 0.5000 0.5000 0.7305  8 Pb 3.51-3.75, 4 Ba 3.78
Pb 0.0000 0.0000 0.5000  12 Pb 3.51-3.75
Pb 0.5000 0.5000 0.2695  8 Pb 3.51-3.75, 4 Ba 3.78
Ba 0.0000 0.0000 0.0000  4 Ba 3.75, 8 Pb 3.78

Output
DFT formation energy: -15 kJ per mole of atoms
M_tot: 0.0 μB/cell

---

[3]
Ba7Pb | PBE | optimized geometry

abc: 8.4910 8.4910 8.4910
angles: 60.00 60.00 60.00
Last column: nearest neighbours and their distance in Å.
Positions (direct):
Ba 0.5000 0.5000 0.0000  10 Ba 4.25, 2 Pb 4.25
Ba 0.5000 0.0000 0.5000  10 Ba 4.25, 2 Pb 4.25
Ba 0.5000 0.0000 0.0000  10 Ba 4.25, 2 Pb 4.25
Ba 0.0000 0.0000 0.5000  10 Ba 4.25, 2 Pb 4.25
Ba 0.0000 0.5000 0.0000  10 Ba 4.25, 2 Pb 4.25
Ba 0.0000 0.5000 0.5000  10 Ba 4.25, 2 Pb 4.25
Ba 0.5000 0.5000 0.5000  12 Ba 4.25
Pb 0.0000 0.0000 0.0000  12 Ba 4.25

Output
DFT formation energy: -5 kJ per mole of atoms
M_tot: 0.0 μB/cell

---

[4]
BaPb5 | PBE | optimized geometry

abc: 5.4935 5.1348 7.6041
angles: 109.73 90.00 90.00
Last column: nearest neighbours and their distance in Å.
Positions (direct):
Pb 0.5000 0.8279 0.6559  10 Pb 3.40-3.76, 2 Ba 3.69
Pb 0.0000 0.6810 0.3620  4 Pb 3.24-3.46
Pb 0.5000 0.5000 0.0000  8 Pb 3.56-3.78, 4 Ba 3.76
Pb 0.0000 0.3190 0.6380  4 Pb 3.24-3.46
Pb 0.5000 0.1721 0.3441  10 Pb 3.40-3.76, 2 Ba 3.69
Ba 0.0000 0.0000 0.0000  12 Pb 3.65-3.76

Output
DFT formation energy: -19 kJ per mole of atoms
M_tot: 0.0 μB/cell

---

[5]
BaPb3 | PBE | optimized geometry

abc: 6.3566 6.3566 6.3566
angles: 132.51 132.57 69.38
Last column: nearest neighbours and their distance in Å.
Positions (direct):
Pb 0.2500 0.7500 0.5000  8 Pb 3.62-3.66, 4 Ba 3.66
Pb 0.5000 0.5000 0.0000  4 Ba 3.62, 8 Pb 3.66
Pb 0.7500 0.2500 0.5000  8 Pb 3.62-3.66, 4 Ba 3.66
Ba 0.0000 0.0000 0.0000  12 Pb 3.62-3.66

Output
DFT formation energy: -30 kJ per mole of atoms
M_tot: 0.0 μB/cell

---

[6]
BaPb3 | PBE | optimized geometry

abc: 5.8412 5.8412 5.8412
angles: 60.00 60.00 60.00
Last column: nearest neighbours and their distance in Å.
Positions (direct):
Pb 0.2500 0.2500 0.2500  4 Ba 3.58, 4 Pb 3.58
Pb 0.5000 0.5000 0.5000  8 Pb 3.58
Pb 0.7500 0.7500 0.7500  4 Pb 3.58, 4 Ba 3.58
Ba 0.0000 0.0000 0.0000  8 Pb 3.58

Output
DFT formation energy: -23 kJ per mole of atoms
M_tot: 0.0 μB/cell

---

[7]
BaPb2 | PBE | optimized geometry

abc: 6.0912 6.0912 6.0912
angles: 140.69 124.72 69.92
Last column: nearest neighbours and their distance in Å.
Positions (direct):
Ba 0.0000 0.0000 0.0000  10 Pb 3.44-3.82
Pb 0.6551 0.6551 0.0000  1 Pb 3.10, 1 Ba 3.44
Pb 0.3449 0.3449 0.0000  1 Pb 3.10, 1 Ba 3.44

Output
DFT formation energy: -25 kJ per mole of atoms
M_tot: 0.0 μB/cell

---

[8]
BaPb2 | PBE | optimized geometry

abc: 7.3714 7.3714 7.3714
angles: 127.53 127.53 77.39
Last column: nearest neighbours and their distance in Å.
Positions (direct):
Ba 0.7500 0.7500 0.0000  8 Pb 3.73
Ba 0.2500 0.2500 0.0000  8 Pb 3.73
Pb 0.8093 0.3093 0.1186  5 Pb 3.35-3.52, 4 Ba 3.73
Pb 0.1907 0.6907 0.8814  5 Pb 3.35-3.52, 4 Ba 3.73
Pb 0.3093 0.1907 0.5000  5 Pb 3.35-3.52, 4 Ba 3.73
Pb 0.6907 0.8093 0.5000  5 Pb 3.35-3.52, 4 Ba 3.73

Output
DFT formation energy: -24 kJ per mole of atoms
M_tot: 0.0 μB/cell

---

[9]
Ba5Pb | PBE | optimized geometry

abc: 7.6909 7.6909 7.6909
angles: 60.00 60.00 60.00
Last column: nearest neighbours and their distance in Å.
Positions (direct):
Ba 0.2500 0.2500 0.2500  12 Ba 4.52, 4 Pb 4.71
Ba 0.6268 0.6268 0.6268  6 Ba 3.79-3.90
Ba 0.6268 0.6268 0.1195  6 Ba 3.79-3.90
Ba 0.1195 0.6268 0.6268  6 Ba 3.79-3.90
Ba 0.6268 0.1195 0.6268  6 Ba 3.79-3.90
Pb 0.0000 0.0000 0.0000  16 Ba 4.50-4.71

Output
DFT formation energy: 16 kJ per mole of atoms
M_tot: 0.0 μB/cell

---

[10]
BaPb | PBE | optimized geometry

abc: 4.0261 20.1498 16.4542
angles: 90.00 90.00 90.00
Last column: nearest neighbours and their distance in Å.
Positions (direct):
Ba 0.0000 0.8652 0.0000  6 Pb 3.59-3.73
Ba 0.0000 0.1348 0.0000  6 Pb 3.59-3.73
Ba 0.2500 0.8848 0.2500  6 Pb 3.59-3.73
Ba 0.2500 0.6152 0.2500  6 Pb 3.59-3.73
Ba 0.0000 0.3652 0.5000  6 Pb 3.59-3.73
Ba 0.0000 0.6348 0.5000  6 Pb 3.59-3.73
Ba 0.2500 0.3848 0.7500  6 Pb 3.59-3.73
Ba 0.2500 0.1152 0.7500  6 Pb 3.59-3.73
Ba 0.5000 0.8652 0.5000  6 Pb 3.59-3.73
Ba 0.5000 0.1348 0.5000  6 Pb 3.59-3.73
Ba 0.7500 0.8848 0.7500  6 Pb 3.59-3.73
Ba 0.7500 0.6152 0.7500  6 Pb 3.59-3.73
Ba 0.5000 0.3652 0.0000  6 Pb 3.59-3.73
Ba 0.5000 0.6348 0.0000  6 Pb 3.59-3.73
Ba 0.7500 0.3848 0.2500  6 Pb 3.59-3.73
Ba 0.7500 0.1152 0.2500  6 Pb 3.59-3.73
Pb 0.0000 0.0000 0.4050  1 Pb 3.13
Pb 0.0000 0.0000 0.5950  1 Pb 3.13
Pb 0.2500 0.7500 0.8450  1 Pb 3.13
Pb 0.2500 0.7500 0.6550  1 Pb 3.13
Pb 0.0000 0.5000 0.9050  1 Pb 3.13
Pb 0.0000 0.5000 0.0950  1 Pb 3.13
Pb 0.2500 0.2500 0.3450  1 Pb 3.13
Pb 0.2500 0.2500 0.1550  1 Pb 3.13
Pb 0.5000 0.0000 0.9050  1 Pb 3.13
Pb 0.5000 0.0000 0.0950  1 Pb 3.13
Pb 0.7500 0.7500 0.3450  1 Pb 3.13
Pb 0.7500 0.7500 0.1550  1 Pb 3.13
Pb 0.5000 0.5000 0.4050  1 Pb 3.13
Pb 0.5000 0.5000 0.5950  1 Pb 3.13
Pb 0.7500 0.2500 0.8450  1 Pb 3.13
Pb 0.7500 0.2500 0.6550  1 Pb 3.13

Output
DFT formation energy: -46 kJ per mole of atoms
M_tot: 0.0 μB/cell

---

[11]
BaPb | PBE | optimized geometry

abc: 5.5321 12.7495 7.2464
angles: 90.00 90.00 90.00
Last column: nearest neighbours and their distance in Å.
Positions (direct):
Ba 0.5000 0.8337 0.6681  6 Pb 3.65-3.66
Ba 0.5000 0.1663 0.6681  6 Pb 3.65-3.66
Ba 0.5000 0.3337 0.1681  6 Pb 3.65-3.66
Ba 0.5000 0.6663 0.1681  6 Pb 3.65-3.66
Ba 0.5000 0.0000 0.1683  6 Pb 3.74-3.75
Ba 0.5000 0.5000 0.6683  6 Pb 3.74-3.75
Pb 0.0000 0.3262 0.8386  6 Ba 3.65-3.75
Pb 0.0000 0.6738 0.8386  6 Ba 3.65-3.75
Pb 0.0000 0.8262 0.3386  6 Ba 3.65-3.75
Pb 0.0000 0.1738 0.3386  6 Ba 3.65-3.75
Pb 0.0000 0.0000 0.8202  6 Ba 3.66-3.74
Pb 0.0000 0.5000 0.3202  6 Ba 3.66-3.74

Output
DFT formation energy: -31 kJ per mole of atoms
M_tot: 0.0 μB/cell

---

[12]
Ba3PdPb3 | PBE | optimized geometry

abc: 5.1031 6.7955 16.2424
angles: 84.32 80.96 67.95
Last column: nearest neighbours and their distance in Å.
Positions (direct):
Ba 0.5243 0.3378 0.6137  7 Pb 3.60-3.99, 4 Pd 3.63-3.95
Ba 0.4757 0.6622 0.3863  7 Pb 3.60-3.99, 4 Pd 3.63-3.95
Ba 0.2587 0.2454 0.2372  6 Pb 3.61-3.74, 2 Pd 3.67
Ba 0.7413 0.7546 0.7628  6 Pb 3.61-3.74, 2 Pd 3.67
Ba 0.4015 0.2783 0.9186  7 Pb 3.63-3.71
Ba 0.5985 0.7217 0.0814  7 Pb 3.63-3.71
Pd 0.7611 0.0855 0.3923  4 Pb 2.91-2.94
Pd 0.2389 0.9145 0.6077  4 Pb 2.91-2.94
Pb 0.8350 0.7923 0.5377  3 Pd 2.91
Pb 0.1650 0.2077 0.4623  3 Pd 2.91
Pb 0.1116 0.8543 0.9226  2 Pb 3.15-3.19
Pb 0.8884 0.1457 0.0774  2 Pb 3.15-3.19
Pb 0.9599 0.8394 0.2408  1 Pd 2.94, 1 Pb 3.19
Pb 0.0401 0.1606 0.7592  1 Pd 2.94, 1 Pb 3.19

Output
DFT formation energy: -53 kJ per mole of atoms
M_tot: 0.0 μB/cell

---

[13]
Ba2Pd3Pb5 | PBE | optimized geometry

abc: 4.8869 7.8546 14.5078
angles: 90.00 99.70 90.00
Last column: nearest neighbours and their distance in Å.
Positions (direct):
Ba 0.4760 0.7649 0.9520  3 Pd 3.14-3.45
Ba 0.1750 0.7245 0.3501  9 Pb 3.48-3.79, 4 Pd 3.49-3.79
Ba 0.8250 0.2245 0.6499  9 Pb 3.48-3.79, 4 Pd 3.49-3.79
Ba 0.5240 0.2649 0.0480  3 Pd 3.14-3.45
Pd 0.7764 0.7148 0.5527  7 Pb 2.86-3.12
Pd 0.6077 0.5233 0.2154  4 Pb 2.86-2.95, 1 Ba 3.14
Pd 0.0512 0.9708 0.1024  5 Pb 2.84-3.14
Pd 0.2236 0.2148 0.4473  7 Pb 2.86-3.12
Pd 0.9488 0.4708 0.8976  5 Pb 2.84-3.14
Pd 0.3923 0.0233 0.7846  4 Pb 2.86-2.95, 1 Ba 3.14
Pb 0.4030 0.3902 0.8059  3 Pd 2.84-2.90
Pb 0.2901 0.5142 0.5802  3 Pd 2.93-3.02, 1 Pb 3.19
Pb 0.7099 0.0142 0.4198  3 Pd 2.93-3.02, 1 Pb 3.19
Pb 0.1242 0.2487 0.2484  2 Pd 2.86-3.02
Pb 0.2964 0.9192 0.5927  4 Pd 2.86-3.12, 1 Pb 3.19
Pb 0.9467 0.0942 0.8935  4 Pd 2.95-3.14
Pb 0.7036 0.4192 0.4073  4 Pd 2.86-3.12, 1 Pb 3.19
Pb 0.8758 0.7487 0.7516  2 Pd 2.86-3.02
Pb 0.0533 0.5942 0.1065  4 Pd 2.95-3.14
Pb 0.5970 0.8902 0.1941  3 Pd 2.84-2.90

Output
DFT formation energy: -44 kJ per mole of atoms
M_tot: 0.0 μB/cell

---

[14]
BaPd2Pb3 | PBE | optimized geometry

abc: 4.7847 9.6346 11.7327
angles: 109.04 90.00 104.38
Last column: nearest neighbours and their distance in Å.
Positions (direct):
Ba 0.1605 0.3209 0.6997  8 Pb 3.57-3.93, 6 Pd 3.67-3.82
Ba 0.8395 0.6791 0.3003  8 Pb 3.57-3.93, 6 Pd 3.67-3.82
Ba 0.0000 0.0000 0.0000  6 Pd 3.45-3.64, 6 Pb 3.56-3.81
Pd 0.1960 0.3920 0.1231  6 Pb 2.86-3.02
Pd 0.8040 0.6080 0.8769  6 Pb 2.86-3.02
Pd 0.4738 0.9475 0.2168  4 Pb 2.84-2.93
Pd 0.5262 0.0525 0.7832  4 Pb 2.84-2.93
Pd 0.3630 0.7261 0.5564  7 Pb 2.81-3.02
Pd 0.6370 0.2739 0.4436  7 Pb 2.81-3.02
Pb 0.0380 0.0759 0.3405  4 Pd 2.84-3.02, 1 Pb 3.18
Pb 0.9620 0.9241 0.6595  4 Pd 2.84-3.02, 1 Pb 3.18
Pb 0.2156 0.4312 0.3841  4 Pd 2.81-3.01
Pb 0.7844 0.5688 0.6159  4 Pd 2.81-3.01
Pb 0.6249 0.2499 0.1923  4 Pd 2.88-2.98, 1 Pb 3.19
Pb 0.3751 0.7501 0.8077  4 Pd 2.88-2.98, 1 Pb 3.19
Pb 0.5000 0.0000 0.5000  2 Pd 2.85
Pb 0.3245 0.6489 0.0418  4 Pd 2.85-3.02, 1 Pb 3.19
Pb 0.6755 0.3511 0.9582  4 Pd 2.85-3.02, 1 Pb 3.19

Output
DFT formation energy: -39 kJ per mole of atoms
M_tot: 0.0 μB/cell

---

[15]
Ba2Pd7Pb12 | PBE | optimized geometry

abc: 4.6354 11.6901 11.6901
angles: 120.00 90.00 90.00
Last column: nearest neighbours and their distance in Å.
Positions (direct):
Ba 0.5000 0.0000 0.0000  6 Pd 3.65, 9 Pb 3.72-4.05
Ba 0.0000 0.6667 0.3333  6 Pd 3.71, 9 Pb 3.79-3.91
Pd 0.0000 0.3333 0.6667  3 Pb 2.85
Pd 0.0000 0.0295 0.7753  5 Pb 2.86-2.92
Pd 0.0000 0.7458 0.9705  5 Pb 2.86-2.92
Pd 0.0000 0.2247 0.2542  5 Pb 2.86-2.92
Pd 0.5000 0.6271 0.5588  7 Pb 2.84-3.06
Pd 0.5000 0.9318 0.3729  7 Pb 2.84-3.06
Pd 0.5000 0.4412 0.0682  7 Pb 2.84-3.06
Pb 0.5000 0.8922 0.6129  4 Pd 2.84-3.06
Pb 0.5000 0.7206 0.1078  4 Pd 2.84-3.06
Pb 0.5000 0.3871 0.2794  4 Pd 2.84-3.06
Pb 0.5000 0.2342 0.7858  5 Pd 2.96-3.29
Pb 0.5000 0.5516 0.7658  5 Pd 2.96-3.29
Pb 0.5000 0.2142 0.4484  5 Pd 2.96-3.29
Pb 0.0000 0.0524 0.5403  4 Pd 2.85-2.90
Pb 0.0000 0.4879 0.9476  4 Pd 2.85-2.90
Pb 0.0000 0.4597 0.5121  4 Pd 2.85-2.90
Pb 0.0000 0.7681 0.7379  4 Pd 2.86-3.00
Pb 0.0000 0.9698 0.2319  4 Pd 2.86-3.00
Pb 0.0000 0.2621 0.0302  4 Pd 2.86-3.00

Output
DFT formation energy: -30 kJ per mole of atoms
M_tot: 0.0 μB/cell

---

[16]
Ba2PdPb | PBE | optimized geometry

abc: 5.3731 10.2463 6.7122
angles: 112.43 113.59 90.00
Last column: nearest neighbours and their distance in Å.
Positions (direct):
Ba 0.1693 0.5846 0.3382  2 Pd 3.18-3.19
Ba 0.8307 0.4154 0.6618  2 Pd 3.18-3.19
Ba 0.1689 0.0846 0.3382  2 Pd 3.18-3.19
Ba 0.8311 0.9154 0.6618  2 Pd 3.18-3.19
Pd 0.0012 0.7500 0.0000  2 Pb 2.69
Pd 0.9988 0.2500 0.0000  2 Pb 2.69
Pb 0.4989 0.2500 0.0000  2 Pd 2.69
Pb 0.5011 0.7500 0.0000  2 Pd 2.69

Output
DFT formation energy: -40 kJ per mole of atoms
M_tot: 0.0 μB/cell

---

[17]
Ba3Pd3Pb | PBE | optimized geometry

abc: 6.4847 9.5985 9.5985
angles: 120.00 90.00 90.00
Last column: nearest neighbours and their distance in Å.
Positions (direct):
Ba 0.7500 0.6980 0.6377  5 Pd 3.24-3.31
Ba 0.7500 0.3623 0.0603  5 Pd 3.24-3.31
Ba 0.7500 0.9397 0.3020  5 Pd 3.24-3.31
Ba 0.2500 0.3020 0.3623  5 Pd 3.24-3.31
Ba 0.2500 0.6377 0.9397  5 Pd 3.24-3.31
Ba 0.2500 0.0603 0.6980  5 Pd 3.24-3.31
Pd 0.2500 0.6858 0.6269  1 Pb 2.73
Pd 0.2500 0.3731 0.0589  1 Pb 2.73
Pd 0.2500 0.9411 0.3142  1 Pb 2.73
Pd 0.7500 0.3142 0.3731  1 Pb 2.73
Pd 0.7500 0.6269 0.9411  1 Pb 2.73
Pd 0.7500 0.0589 0.6858  1 Pb 2.73
Pb 0.2500 0.6667 0.3333  3 Pd 2.73
Pb 0.7500 0.3333 0.6667  3 Pd 2.73

Output
DFT formation energy: -37 kJ per mole of atoms
M_tot: 0.0 μB/cell

---

[18]
Ba2Pd3Pb2 | PBE | optimized geometry

abc: 4.3120 6.8048 7.6654
angles: 113.99 90.00 108.47
Last column: nearest neighbours and their distance in Å.
Positions (direct):
Ba 0.8791 0.7582 0.2251  6 Pd 3.32-3.52, 4 Pb 3.55-3.64
Ba 0.1209 0.2418 0.7749  6 Pd 3.32-3.52, 4 Pb 3.55-3.64
Pd 0.5000 0.0000 0.0000  2 Pd 2.94, 4 Pb 3.11
Pd 0.5942 0.1884 0.4232  3 Pb 2.79-2.99, 1 Pd 2.94
Pd 0.4058 0.8116 0.5768  3 Pb 2.79-2.99, 1 Pd 2.94
Pb 0.8354 0.6708 0.7301  5 Pd 2.79-3.11
Pb 0.1646 0.3292 0.2699  5 Pd 2.79-3.11

Output
DFT formation energy: -44 kJ per mole of atoms
M_tot: 0.0 μB/cell

---

[19]
BaPd4Pb2 | PBE | optimized geometry

abc: 4.2900 8.5800 8.5800
angles: 90.00 90.00 90.00
Last column: nearest neighbours and their distance in Å.
Positions (direct):
Ba 0.5000 0.0000 0.0000  6 Pb 3.36-3.45
Ba 0.0000 0.5000 0.5000  6 Pb 3.36-3.45
Pd 0.0000 0.0827 0.3539  3 Pb 2.80-2.85, 5 Pd 2.88-2.96
Pd 0.0000 0.9173 0.6461  3 Pb 2.80-2.85, 5 Pd 2.88-2.96
Pd 0.5000 0.1461 0.5827  3 Pb 2.80-2.85, 5 Pd 2.88-2.96
Pd 0.5000 0.8539 0.4173  3 Pb 2.80-2.85, 5 Pd 2.88-2.96
Pd 0.5000 0.4173 0.8539  3 Pb 2.80-2.85, 5 Pd 2.88-2.96
Pd 0.5000 0.5827 0.1461  3 Pb 2.80-2.85, 5 Pd 2.88-2.96
Pd 0.0000 0.3539 0.0827  3 Pb 2.80-2.85, 5 Pd 2.88-2.96
Pd 0.0000 0.6461 0.9173  3 Pb 2.80-2.85, 5 Pd 2.88-2.96
Pb 0.0000 0.2228 0.7772  6 Pd 2.80-2.85
Pb 0.0000 0.7772 0.2228  6 Pd 2.80-2.85
Pb 0.5000 0.7228 0.7228  6 Pd 2.80-2.85
Pb 0.5000 0.2772 0.2772  6 Pd 2.80-2.85

Output
DFT formation energy: -33 kJ per mole of atoms
M_tot: 0.0 μB/cell

---

[20]
BaPd3Pb | PBE | optimized geometry

abc: 5.7893 9.2129 7.2413
angles: 129.50 113.56 90.00
Last column: nearest neighbours and their distance in Å.
Positions (direct):
Ba 0.2500 0.2891 0.5000  11 Pd 3.41-3.74, 4 Pb 3.77
Ba 0.7500 0.7109 0.5000  11 Pd 3.41-3.74, 4 Pb 3.77
Pd 0.7294 0.2294 0.9588  2 Pb 2.73, 4 Pd 2.76-2.89
Pd 0.2294 0.2294 0.9588  2 Pb 2.73, 4 Pd 2.76-2.89
Pd 0.7706 0.7706 0.0412  2 Pb 2.73, 4 Pd 2.76-2.89
Pd 0.2706 0.7706 0.0412  2 Pb 2.73, 4 Pd 2.76-2.89
Pd 0.2500 0.9075 0.5000  4 Pd 2.76, 2 Pb 2.80
Pd 0.7500 0.0925 0.5000  4 Pd 2.76, 2 Pb 2.80
Pb 0.0000 0.5000 0.0000  6 Pd 2.73-2.80
Pb 0.5000 0.0000 0.0000  6 Pd 2.73-2.80

Output
DFT formation energy: -41 kJ per mole of atoms
M_tot: 0.0 μB/cell